Entry 1:
RbMoOs3 | PBE-GGA | relaxed

Cell lengths 4.842, 4.842, 4.842 Å; angles 90.00, 90.00, 90.00 degrees
Space group Pm-3m (No. 221)
Unique sites:
Rb 0.000 0.000 0.000
Mo 0.500 0.500 0.500
Os 0.000 0.500 0.500

## Properties
VASP energy: -6.96 eV/atom
size of the total moment: 1.3 μB per cell
formation enthalpy at 0 K: 2.135 eV/atom
crystal system: cubic
mass density: 11.0 g/cm³
excess energy over the best structure of this formula in the dataset: 0 meV/atom
DOS at the Fermi energy: 9.7 states/eV/f.u.

Entry 2:
RbMo3Os | PBE-GGA | relaxed

Cell lengths 4.936, 4.936, 4.936 Å; angles 90.00, 90.00, 90.00 degrees
Space group Pm-3m (No. 221)
Unique sites:
Rb 0.000 0.000 0.000
Mo 0.000 0.500 0.500
Os 0.500 0.500 0.500

## Properties
VASP energy: -7.18 eV/atom
size of the total moment: 3.6 μB per cell
formation enthalpy at 0 K: 1.754 eV/atom
crystal system: cubic
mass density: 7.8 g/cm³
excess energy over the best structure of this formula in the dataset: 0 meV/atom
DOS at the Fermi energy: 4.3 states/eV/f.u.

Entry 3:
RbMoOs3 | PBE-GGA | relaxed

Cell lengths 4.623, 4.623, 4.623 Å; angles 90.00, 90.00, 90.00 degrees
Space group Pm-3m (No. 221)
Unique sites:
Rb 0.000 0.000 0.000
Mo 0.500 0.500 0.500
Os 0.000 0.000 0.500

## Properties
VASP energy: -4.91 eV/atom
size of the total moment: 0.0 μB per cell
formation enthalpy at 0 K: 4.186 eV/atom
crystal system: cubic
mass density: 12.6 g/cm³
excess energy over the best structure of this formula in the dataset: 2051 meV/atom
DOS at the Fermi energy: 18.6 states/eV/f.u.